1.
{"formula": "TaZnCd2As", "functional": "PBE", "state": "optimized geometry", "cell": [[5.3594, 0.0000, 0.0000], [0.0000, 5.3594, 0.0000], [0.0000, 0.0000, 5.0237]], "species": ["Ta", "Zn", "Cd", "Cd", "As"], "fractional_positions": [[0.0000, 0.0000, 0.0000], [0.0000, 0.0000, 0.5000], [0.0000, 0.5000, 0.0000], [0.5000, 0.0000, 0.0000], [0.5000, 0.5000, 0.5000]], "final_energy_ev_per_atom": -2.62, "e_form_kj_per_mol_fu": 628}

2.
{"formula": "Cd3In3SnHg2", "functional": "PBE", "state": "optimized geometry", "cell": [[8.3183, 0.0000, 0.0000], [-4.1592, 7.2039, 0.0000], [0.0000, 0.0000, 3.9593]], "species": ["Cd", "Cd", "Cd", "In", "In", "In", "Sn", "Hg", "Hg"], "fractional_positions": [[0.0000, 0.3911, 0.0000], [0.3911, 0.0000, 0.0000], [0.6089, 0.6089, 0.0000], [0.0000, 0.7118, 0.5000], [0.2882, 0.2882, 0.5000], [0.7118, 0.0000, 0.5000], [0.0000, 0.0000, 0.0000], [0.3333, 0.6667, 0.5000], [0.6667, 0.3333, 0.5000]], "final_energy_ev_per_atom": -1.67, "e_form_kj_per_mol_fu": 48}

3.
{"formula": "Sr2ScRh", "functional": "PBE", "state": "optimized geometry", "cell": [[7.6664, 0.0000, 0.0000], [0.0000, 7.6664, 0.0000], [0.0000, 0.0000, 7.6664]], "species": ["Sr", "Sr", "Sr", "Sr", "Sr", "Sr", "Sr", "Sr", "Sc", "Sc", "Sc", "Sc", "Rh", "Rh", "Rh", "Rh"], "fractional_positions": [[0.2500, 0.2500, 0.2500], [0.2500, 0.2500, 0.7500], [0.2500, 0.7500, 0.2500], [0.2500, 0.7500, 0.7500], [0.7500, 0.2500, 0.2500], [0.7500, 0.2500, 0.7500], [0.7500, 0.7500, 0.2500], [0.7500, 0.7500, 0.7500], [0.0000, 0.0000, 0.0000], [0.0000, 0.5000, 0.5000], [0.5000, 0.0000, 0.5000], [0.5000, 0.5000, 0.0000], [0.0000, 0.0000, 0.5000], [0.0000, 0.5000, 0.0000], [0.5000, 0.0000, 0.0000], [0.5000, 0.5000, 0.5000]], "final_energy_ev_per_atom": -3.94, "e_form_kj_per_mol_fu": 123, "polymorph_energy_ev_per_fu": 2.34}

4.
{"formula": "Ho12Ni6Te", "functional": "PBE", "state": "optimized geometry", "cell": [[-4.8502, 4.8502, 4.8502], [4.8502, -4.8502, 4.8502], [4.8502, 4.8502, -4.8502]], "species": ["Ho", "Ho", "Ho", "Ho", "Ho", "Ho", "Ho", "Ho", "Ho", "Ho", "Ho", "Ho", "Ni", "Ni", "Ni", "Ni", "Ni", "Ni", "Te"], "fractional_positions": [[0.1194, 0.3079, 0.8115], [0.1885, 0.4965, 0.3079], [0.1885, 0.8806, 0.6921], [0.3079, 0.1885, 0.4965], [0.3079, 0.8115, 0.1194], [0.4965, 0.3079, 0.1885], [0.5035, 0.6921, 0.8115], [0.6921, 0.1885, 0.8806], [0.6921, 0.8115, 0.5035], [0.8115, 0.1194, 0.3079], [0.8115, 0.5035, 0.6921], [0.8806, 0.6921, 0.1885], [0.1244, 0.5000, 0.6244], [0.3756, 0.8756, 0.5000], [0.5000, 0.3756, 0.8756], [0.5000, 0.6244, 0.1244], [0.6244, 0.1244, 0.5000], [0.8756, 0.5000, 0.3756], [0.0000, 0.0000, 0.0000]], "e_form_raw_ev_per_atom": -0.435, "final_energy_ev_per_atom": -5.32}

5.
{"formula": "CdIn2NiHg", "functional": "PBE", "state": "optimized geometry", "cell": [[4.9921, 0.0000, 0.0000], [0.0000, 4.9921, 0.0000], [0.0000, 0.0000, 5.1267]], "species": ["Cd", "In", "In", "Ni", "Hg"], "fractional_positions": [[0.0000, 0.0000, 0.0000], [0.0000, 0.5000, 0.5000], [0.5000, 0.0000, 0.5000], [0.5000, 0.5000, 0.5000], [0.5000, 0.5000, 0.0000]], "final_energy_ev_per_atom": -2.44, "e_form_kj_per_mol_fu": 25, "polymorph_energy_ev_per_fu": 0.33}

6.
{"formula": "CaTb4Nd2Sm", "functional": "PBE", "state": "optimized geometry", "cell": [[6.9226, -6.7307, 0.0000], [6.9226, 6.7307, 0.0000], [-3.4226, 0.0000, 5.9781]], "species": ["Ca", "Ca", "Tb", "Tb", "Tb", "Tb", "Tb", "Tb", "Tb", "Tb", "Nd", "Nd", "Nd", "Nd", "Sm", "Sm"], "fractional_positions": [[0.0000, 0.0000, 0.0000], [0.0000, 0.0000, 0.5000], [0.2502, 0.7469, 0.9989], [0.2531, 0.7498, 0.5011], [0.2627, 0.2636, 0.0161], [0.2636, 0.2627, 0.5161], [0.7364, 0.7373, 0.4839], [0.7373, 0.7364, 0.9839], [0.7469, 0.2502, 0.4989], [0.7498, 0.2531, 0.0011], [0.0000, 0.5000, 0.5000], [0.5000, 0.0000, 0.0000], [0.5000, 0.5000, 0.0000], [0.5000, 0.5000, 0.5000], [0.0000, 0.5000, 0.0000], [0.5000, 0.0000, 0.5000]], "final_energy_ev_per_atom": -3.94, "e_form_kj_per_mol_fu": 317}

7.
{"formula": "Sr5DyCd6", "functional": "PBE", "state": "optimized geometry", "cell": [[2.8201, -8.4618, 0.0000], [2.8201, 8.4618, 0.0000], [0.0000, 0.0000, 8.0345]], "species": ["Sr", "Sr", "Sr", "Sr", "Sr", "Dy", "Cd", "Cd", "Cd", "Cd", "Cd", "Cd"], "fractional_positions": [[0.0000, 0.0000, 0.0000], [0.3316, 0.6684, 0.0000], [0.3325, 0.6675, 0.5000], [0.6675, 0.3325, 0.5000], [0.6684, 0.3316, 0.0000], [0.0000, 0.0000, 0.5000], [0.1582, 0.8418, 0.2613], [0.1582, 0.8418, 0.7387], [0.5000, 0.5000, 0.2711], [0.5000, 0.5000, 0.7289], [0.8418, 0.1582, 0.2613], [0.8418, 0.1582, 0.7387]], "final_energy_ev_per_atom": -1.86, "e_form_kj_per_mol_fu": -363}

8.
{"formula": "SrScS2", "functional": "PBE", "state": "optimized geometry", "cell": [[3.8552, 0.0000, 0.0000], [-1.9276, 3.3387, 0.0000], [0.0000, 0.0000, 20.6523]], "species": ["Sr", "Sr", "Sr", "Sc", "Sc", "Sc", "S", "S", "S", "S", "S", "S"], "fractional_positions": [[0.0000, 0.0000, 0.0000], [0.3333, 0.6667, 0.6667], [0.6667, 0.3333, 0.3333], [0.0000, 0.0000, 0.8264], [0.3333, 0.6667, 0.4931], [0.6667, 0.3333, 0.1597], [0.0000, 0.0000, 0.2339], [0.0000, 0.0000, 0.4251], [0.3333, 0.6667, 0.0917], [0.3333, 0.6667, 0.9006], [0.6667, 0.3333, 0.5672], [0.6667, 0.3333, 0.7584]], "e_form_raw_ev_per_atom": -1.863, "final_energy_ev_per_atom": -5.93, "polymorph_energy_ev_per_fu": 0.28}

9.
{"formula": "Li4InSn", "functional": "PBE", "state": "optimized geometry", "cell": [[0.0000, 3.8649, 3.8649], [3.8649, 0.0000, 3.8649], [3.8649, 3.8649, 0.0000]], "species": ["Li", "Li", "Li", "Li", "In", "Sn"], "fractional_positions": [[0.1253, 0.1253, 0.1253], [0.1253, 0.1253, 0.6241], [0.1253, 0.6241, 0.1253], [0.6241, 0.1253, 0.1253], [0.7500, 0.7500, 0.7500], [0.5000, 0.5000, 0.5000]], "final_energy_ev_per_atom": -2.53, "e_form_kj_per_mol_fu": -78, "polymorph_energy_ev_per_fu": 1.17}

10.
{"formula": "TlWBr2", "functional": "PBE", "state": "optimized geometry", "cell": [[10.9366, 0.0000, 0.0000], [0.0000, 3.2851, 0.0000], [-2.9556, 0.0000, 6.9828]], "species": ["Tl", "Tl", "W", "W", "Br", "Br", "Br", "Br"], "fractional_positions": [[0.0000, 0.0000, 0.0000], [0.5000, 0.5000, 0.0000], [0.2316, 0.5000, 0.0001], [0.7316, 0.0000, 0.0001], [0.1775, 0.0000, 0.7093], [0.3347, 0.0000, 0.2908], [0.6775, 0.5000, 0.7093], [0.8347, 0.5000, 0.2908]], "e_form_raw_ev_per_atom": 0.251, "final_energy_ev_per_atom": -4.42, "polymorph_energy_ev_per_fu": 0.00}

11.
{"formula": "NaTlPt", "functional": "PBE", "state": "optimized geometry", "cell": [[4.8722, 0.0000, 0.0000], [-2.4361, 4.2194, 0.0000], [0.0000, 0.0000, 3.0804]], "species": ["Na", "Tl", "Pt"], "fractional_positions": [[0.0000, 0.0000, 0.0000], [0.3333, 0.6667, 0.5000], [0.6667, 0.3333, 0.5000]], "final_energy_ev_per_atom": -3.37, "e_form_kj_per_mol_fu": -37}

12.
{"formula": "PtAu", "functional": "PBE", "state": "optimized geometry", "cell": [[5.3650, 0.0000, 0.0000], [0.0000, 5.3650, 0.0000], [0.0000, 0.0000, 5.3650]], "species": ["Pt", "Pt", "Pt", "Pt", "Au", "Au", "Au", "Au"], "fractional_positions": [[0.0000, 0.0000, 0.0000], [0.0000, 0.5000, 0.5000], [0.5000, 0.0000, 0.5000], [0.5000, 0.5000, 0.0000], [0.0000, 0.0000, 0.5000], [0.0000, 0.5000, 0.0000], [0.5000, 0.0000, 0.0000], [0.5000, 0.5000, 0.5000]], "final_energy_ev_per_atom": -4.20, "e_form_kj_per_mol_fu": 88}

13.
{"formula": "KMgP2", "functional": "PBE", "state": "optimized geometry", "cell": [[8.5493, 0.0000, 0.0000], [0.0000, 3.4372, 0.0000], [-1.4541, 0.0000, 6.4869]], "species": ["K", "K", "Mg", "Mg", "P", "P", "P", "P"], "fractional_positions": [[0.0000, 0.0000, 0.0000], [0.5000, 0.5000, 0.0000], [0.0000, 0.5000, 0.5000], [0.5000, 0.0000, 0.5000], [0.2353, 0.0000, 0.6325], [0.2647, 0.5000, 0.3675], [0.7353, 0.5000, 0.6325], [0.7647, 0.0000, 0.3675]], "final_energy_ev_per_atom": -3.62, "e_form_kj_per_mol_fu": -94}

14.
{"formula": "LiMg2ZnHg2", "functional": "PBE", "state": "optimized geometry", "cell": [[4.4981, 0.0000, 0.0000], [0.0000, 8.6283, 0.0000], [0.0000, 0.0000, 6.1940]], "species": ["Li", "Li", "Mg", "Mg", "Mg", "Mg", "Zn", "Zn", "Hg", "Hg", "Hg", "Hg"], "fractional_positions": [[0.0000, 0.0550, 0.0000], [0.0000, 0.9450, 0.5000], [0.0000, 0.2938, 0.4195], [0.0000, 0.7062, 0.9195], [0.5000, 0.4581, 0.1346], [0.5000, 0.5419, 0.6346], [0.5000, 0.1997, 0.7451], [0.5000, 0.8003, 0.2451], [0.0000, 0.3710, 0.8716], [0.0000, 0.6290, 0.3716], [0.5000, 0.1154, 0.2821], [0.5000, 0.8846, 0.7821]], "final_energy_ev_per_atom": -1.36, "e_form_kj_per_mol_fu": -111}

15.
{"formula": "Na2AlAgOs", "functional": "PBE", "state": "optimized geometry", "cell": [[5.0254, 0.0000, 0.0000], [0.0000, 5.0254, 0.0000], [0.0000, 0.0000, 4.9225]], "species": ["Na", "Na", "Al", "Ag", "Os"], "fractional_positions": [[0.0000, 0.5000, 0.0000], [0.5000, 0.0000, 0.0000], [0.0000, 0.0000, 0.5000], [0.0000, 0.0000, 0.0000], [0.5000, 0.5000, 0.5000]], "final_energy_ev_per_atom": -2.76, "e_form_kj_per_mol_fu": 643}

16.
{"formula": "La2Al3Ag5", "functional": "PBE", "state": "optimized geometry", "cell": [[-5.5614, 6.2863, 3.1486], [5.5614, -6.2863, 3.1486], [5.5614, 6.2863, -3.1486]], "species": ["La", "La", "La", "La", "Al", "Al", "Al", "Al", "Al", "Al", "Ag", "Ag", "Ag", "Ag", "Ag", "Ag", "Ag", "Ag", "Ag", "Ag"], "fractional_positions": [[0.1304, 0.2340, 0.3644], [0.3696, 0.7340, 0.1035], [0.6304, 0.2660, 0.8965], [0.8696, 0.7660, 0.6356], [0.1303, 0.8818, 0.0121], [0.2500, 0.7500, 0.5000], [0.3697, 0.3818, 0.7516], [0.6303, 0.6182, 0.2484], [0.7500, 0.2500, 0.5000], [0.8697, 0.1182, 0.9879], [0.0135, 0.7500, 0.2635], [0.1060, 0.6518, 0.7578], [0.2500, 0.2500, 0.0000], [0.3940, 0.1518, 0.5458], [0.4865, 0.7500, 0.7365], [0.5135, 0.2500, 0.2635], [0.6060, 0.8482, 0.4542], [0.7500, 0.7500, 0.0000], [0.8940, 0.3482, 0.2422], [0.9865, 0.2500, 0.7365]], "final_energy_ev_per_atom": -3.83, "e_form_kj_per_mol_fu": -286, "polymorph_energy_ev_per_fu": 0.00}

17.
{"formula": "LiRe2Sb", "functional": "PBE", "state": "optimized geometry", "cell": [[5.2046, 0.0000, 0.0000], [0.0000, 8.2245, 0.0000], [0.0000, 0.0000, 3.0130]], "species": ["Li", "Li", "Re", "Re", "Re", "Re", "Sb", "Sb"], "fractional_positions": [[0.0000, 0.0000, 0.0000], [0.5000, 0.5000, 0.0000], [0.2500, 0.2500, 0.5000], [0.2500, 0.7500, 0.5000], [0.7500, 0.2500, 0.5000], [0.7500, 0.7500, 0.5000], [0.0000, 0.5000, 0.0000], [0.5000, 0.0000, 0.0000]], "e_form_raw_ev_per_atom": 0.681, "final_energy_ev_per_atom": -7.05}

18.
{"formula": "TmCdCl6", "functional": "PBE", "state": "optimized geometry", "cell": [[6.5468, 0.0000, 0.0000], [-3.2732, 5.6718, 0.0000], [-3.2468, -1.8846, 5.9222]], "species": ["Tm", "Cd", "Cl", "Cl", "Cl", "Cl", "Cl", "Cl"], "fractional_positions": [[0.0000, 0.0000, 0.0000], [0.0000, 0.5000, 0.5000], [0.1638, 0.2440, 0.7495], [0.1679, 0.4145, 0.2475], [0.4937, 0.0811, 0.2481], [0.5063, 0.9189, 0.7519], [0.8321, 0.5855, 0.7525], [0.8362, 0.7560, 0.2505]], "e_form_raw_ev_per_atom": -1.374, "final_energy_ev_per_atom": -3.43}

19.
{"formula": "CuIrSe2N", "functional": "PBE", "state": "optimized geometry", "cell": [[4.8658, 0.0000, 0.0000], [0.0000, 4.8658, 0.0000], [0.0000, 0.0000, 3.4276]], "species": ["Cu", "Ir", "Se", "Se", "N"], "fractional_positions": [[0.0000, 0.0000, 0.0000], [0.5000, 0.5000, 0.5000], [0.0000, 0.5000, 0.0000], [0.5000, 0.0000, 0.0000], [0.0000, 0.0000, 0.5000]], "e_form_raw_ev_per_atom": 1.206, "final_energy_ev_per_atom": -4.44, "polymorph_energy_ev_per_fu": 3.01}

20.
{"formula": "TaHgW2", "functional": "PBE", "state": "optimized geometry", "cell": [[2.7668, 0.0000, 0.0000], [0.0000, 4.3655, 0.0000], [0.0000, 0.0000, 5.8514]], "species": ["Ta", "Hg", "W", "W"], "fractional_positions": [[0.0000, 0.0000, 0.0000], [0.5000, 0.5000, 0.7415], [0.0000, 0.0000, 0.4741], [0.5000, 0.5000, 0.2481]], "final_energy_ev_per_atom": -9.02, "e_form_kj_per_mol_fu": 189}